# 1
SiTc2Au | PBE-GGA | relaxed

The structure in POSCAR format:
```
SiTc2Au
1.0
0.000 3.113 3.113
3.113 0.000 3.113
3.113 3.113 0.000
Si Au Tc
1 1 2
Direct
0.500 0.500 0.500 Si
0.250 0.250 0.250 Au
0.750 0.750 0.750 Tc
0.000 0.000 0.000 Tc
```

Computed properties:
- Total magnetization: 0.0 μB per formula unit
- SG: No. 216
- DFT total energy: -7.0133 eV/atom

# 2
Si2Tc2Au | PBE-GGA | relaxed

The structure in POSCAR format:
```
Si2Tc2Au
1.0
6.968 0.000 0.000
0.000 6.968 0.000
0.000 0.000 2.972
Tc Au Si
4 2 4
Direct
0.654 0.154 0.500 Tc
0.154 0.346 0.500 Tc
0.346 0.846 0.500 Tc
0.846 0.654 0.500 Tc
0.500 0.500 0.000 Au
0.000 0.000 0.000 Au
0.362 0.138 0.000 Si
0.138 0.638 0.000 Si
0.638 0.862 0.000 Si
0.862 0.362 0.000 Si
```

Computed properties:
- Total magnetization: 0.0 μB per formula unit
- SG: No. 127
- DFT total energy: -7.1522 eV/atom

# 3
SiTe3Au2 | PBE-GGA | relaxed

The structure in POSCAR format:
```
SiTe3Au2
1.0
-2.254 6.550 3.100
2.254 -6.550 3.100
2.254 6.550 -3.100
Au Si Te
2 1 3
Direct
0.597 0.263 0.334 Au
0.929 0.263 0.666 Au
0.244 0.244 0.000 Si
0.482 0.982 0.500 Te
0.173 0.011 0.162 Te
0.849 0.011 0.838 Te
```

Computed properties:
- SG: No. 44
- DFT total energy: -3.5848 eV/atom

# 4
SiTe2Au2 | PBE-GGA | relaxed

The structure in POSCAR format:
```
SiTe2Au2
1.0
6.702 1.400 1.535
3.455 -2.337 5.642
-4.157 -2.138 -5.232
Au Si Te
2 1 2
Direct
0.395 0.395 0.000 Au
0.605 0.605 0.000 Au
0.000 0.000 0.000 Si
0.750 0.250 0.500 Te
0.250 0.750 0.500 Te
```

Computed properties:
- SG: No. 139
- Excess energy over the best structure of this formula in the dataset: 183 meV/atom

# 5
SiTe2Au2 | PBE-GGA | relaxed

The structure in POSCAR format:
```
SiTe2Au2
1.0
-2.037 2.037 6.992
2.037 -2.037 6.992
2.037 2.037 -6.992
Au Te Si
2 2 1
Direct
0.750 0.250 0.500 Au
0.250 0.750 0.500 Au
0.607 0.607 0.000 Te
0.393 0.393 0.000 Te
0.000 0.000 0.000 Si
```

Computed properties:
- SG: No. 139
- Excess energy over the best structure of this formula in the dataset: 0 meV/atom

# 6
Si2TeAu2 | PBE-GGA | relaxed

The structure in POSCAR format:
```
Si2TeAu2
1.0
-3.964 3.605 3.664
-3.694 4.891 -2.138
1.608 -6.156 -1.290
Si Au Te
2 2 1
Direct
0.250 0.750 0.500 Si
0.750 0.250 0.500 Si
0.379 0.379 0.000 Au
0.621 0.621 0.000 Au
0.000 0.000 0.000 Te
```

Computed properties:
- SG: No. 139
- Excess energy over the best structure of this formula in the dataset: 0 meV/atom

# 7
SiTeAu | PBE-GGA | relaxed

The structure in POSCAR format:
```
SiTeAu
1.0
9.179 0.000 0.000
0.000 3.743 0.000
0.000 0.000 8.286
Si Au Te
4 4 4
Direct
0.115 0.250 0.058 Si
0.885 0.750 0.942 Si
0.385 0.750 0.558 Si
0.615 0.250 0.442 Si
0.982 0.750 0.220 Au
0.518 0.250 0.720 Au
0.482 0.750 0.280 Au
0.018 0.250 0.780 Au
0.181 0.250 0.501 Te
0.319 0.750 0.001 Te
0.681 0.250 0.999 Te
0.819 0.750 0.499 Te
```

Computed properties:
- SG: No. 62
- Excess energy over the best structure of this formula in the dataset: 81 meV/atom

# 8
SiTeAu | PBE-GGA | relaxed

The structure in POSCAR format:
```
SiTeAu
1.0
-2.218 4.162 -4.274
-2.975 1.221 2.733
7.487 8.471 4.364
Te Si Au
4 4 4
Direct
0.054 0.750 0.642 Te
0.946 0.250 0.358 Te
0.446 0.250 0.142 Te
0.554 0.750 0.858 Te
0.152 0.750 0.846 Si
0.652 0.750 0.654 Si
0.848 0.250 0.154 Si
0.348 0.250 0.346 Si
0.949 0.750 0.070 Au
0.449 0.750 0.430 Au
0.051 0.250 0.930 Au
0.551 0.250 0.570 Au
```

Computed properties:
- SG: No. 62
- Excess energy over the best structure of this formula in the dataset: 0 meV/atom

# 9
Si2TeAu2 | PBE-GGA | relaxed

The structure in POSCAR format:
```
Si2TeAu2
1.0
-2.143 2.143 5.497
2.143 -2.143 5.497
2.143 2.143 -5.497
Au Si Te
2 2 1
Direct
0.750 0.250 0.500 Au
0.250 0.750 0.500 Au
0.388 0.388 0.000 Si
0.612 0.612 0.000 Si
0.000 0.000 0.000 Te
```

Computed properties:
- SG: No. 139
- Excess energy over the best structure of this formula in the dataset: 20 meV/atom

# 10
TlSiTe3Au | PBE-GGA | relaxed

The structure in POSCAR format:
```
TlSiTe3Au
1.0
7.679 -1.912 0.000
7.679 1.912 0.000
0.000 0.000 11.453
Tl Te Au Si
2 6 2 2
Direct
0.724 0.724 0.750 Tl
0.276 0.276 0.250 Tl
0.629 0.629 0.016 Te
0.371 0.371 0.516 Te
0.371 0.371 0.984 Te
0.629 0.629 0.484 Te
0.971 0.971 0.250 Te
0.029 0.029 0.750 Te
0.622 0.622 0.250 Au
0.378 0.378 0.750 Au
0.000 0.000 0.000 Si
0.000 0.000 0.500 Si
```

Computed properties:
- SG: No. 63
- DFT total energy: -3.4489 eV/atom

# 11
SiW2Au | PBE-GGA | relaxed

The structure in POSCAR format:
```
SiW2Au
1.0
0.000 3.172 3.172
3.172 0.000 3.172
3.172 3.172 0.000
W Au Si
2 1 1
Direct
0.750 0.750 0.750 W
0.000 0.000 0.000 W
0.250 0.250 0.250 Au
0.500 0.500 0.500 Si
```

Computed properties:
- Total magnetization: 0.0 μB per formula unit
- SG: No. 216
- DFT total energy: -8.0613 eV/atom

# 12
Si2WAu | PBE-GGA | relaxed

The structure in POSCAR format:
```
Si2WAu
1.0
0.000 3.170 3.170
3.170 0.000 3.170
3.170 3.170 0.000
Si W Au
2 1 1
Direct
0.000 0.000 0.000 Si
0.750 0.750 0.750 Si
0.500 0.500 0.500 W
0.250 0.250 0.250 Au
```

Computed properties:
- Total magnetization: 0.0 μB per formula unit
- SG: No. 216
- DFT total energy: -6.0568 eV/atom

# 13
YSiAu | PBE-GGA | relaxed

The structure in POSCAR format:
```
YSiAu
1.0
-0.945 -2.077 6.635
-5.227 -0.599 -4.641
1.338 -3.840 -1.011
Au Si Y
3 3 3
Direct
0.000 0.260 0.000 Au
0.740 0.740 0.000 Au
0.260 0.000 0.000 Au
0.000 0.000 0.500 Si
0.667 0.333 0.000 Si
0.333 0.667 0.000 Si
0.414 0.414 0.500 Y
0.586 0.000 0.500 Y
0.000 0.586 0.500 Y
```

Computed properties:
- Total magnetization: 0.0 μB per formula unit
- SG: No. 189
- DFT total energy: -5.8581 eV/atom

# 14
YSiAu | PBE-GGA | relaxed

The structure in POSCAR format:
```
YSiAu
1.0
-3.282 6.008 3.530
1.942 -6.257 4.051
3.373 1.464 0.645
Au Si Y
3 3 3
Direct
0.000 0.623 0.000 Au
0.377 0.377 0.000 Au
0.623 0.000 0.000 Au
0.333 0.667 0.500 Si
0.667 0.333 0.500 Si
0.000 0.000 0.000 Si
0.280 0.000 0.500 Y
0.000 0.280 0.500 Y
0.720 0.720 0.500 Y
```

Computed properties:
- Total magnetization: 0.0 μB per formula unit
- SG: No. 189
- DFT total energy: -5.4546 eV/atom

# 15
YSi2Au | PBE-GGA | relaxed

The structure in POSCAR format:
```
YSi2Au
1.0
4.343 1.608 1.332
0.388 3.227 3.558
1.855 -1.311 4.250
Y Si Au
1 2 1
Direct
0.250 0.250 0.250 Y
0.750 0.750 0.750 Si
0.000 0.000 0.000 Si
0.500 0.500 0.500 Au
```

Computed properties:
- Total magnetization: 0.0 μB per formula unit
- SG: No. 216
- DFT total energy: -5.2397 eV/atom

# 16
YSi2Au2 | PBE-GGA | relaxed

The structure in POSCAR format:
```
YSi2Au2
1.0
-2.126 2.126 5.175
2.126 -2.126 5.175
2.126 2.126 -5.175
Y Si Au
1 2 2
Direct
0.000 0.000 0.000 Y
0.389 0.389 0.000 Si
0.611 0.611 0.000 Si
0.750 0.250 0.500 Au
0.250 0.750 0.500 Au
```

Computed properties:
- Total magnetization: 0.0 μB per formula unit
- SG: No. 139
- DFT total energy: -5.3307 eV/atom

# 17
YSiAu2 | PBE-GGA | relaxed

The structure in POSCAR format:
```
YSiAu2
1.0
0.541 -0.422 4.762
1.989 3.582 2.522
-2.708 2.642 2.972
Au Si Y
2 1 1
Direct
0.750 0.750 0.750 Au
0.000 0.000 0.000 Au
0.500 0.500 0.500 Si
0.250 0.250 0.250 Y
```

Computed properties:
- Total magnetization: 0.0 μB per formula unit
- SG: No. 216
- DFT total energy: -5.0204 eV/atom

# 18
YSiAu | PBE-GGA | relaxed

The structure in POSCAR format:
```
YSiAu
1.0
4.331 0.000 0.000
-2.166 3.751 0.000
0.000 0.000 7.584
Y Au Si
2 2 2
Direct
0.000 0.000 0.755 Y
0.000 0.000 0.255 Y
0.333 0.667 0.020 Au
0.667 0.333 0.520 Au
0.667 0.333 0.975 Si
0.333 0.667 0.475 Si
```

Computed properties:
- Total magnetization: 0.0 μB per formula unit
- SG: No. 186
- DFT total energy: -5.8809 eV/atom

# 19
YSi2Au2 | PBE-GGA | relaxed

The structure in POSCAR format:
```
YSi2Au2
1.0
-2.094 2.094 5.599
2.094 -2.094 5.599
2.094 2.094 -5.599
Si Au Y
2 2 1
Direct
0.250 0.750 0.500 Si
0.750 0.250 0.500 Si
0.378 0.378 0.000 Au
0.622 0.622 0.000 Au
0.000 0.000 0.000 Y
```

Computed properties:
- Total magnetization: 0.0 μB per formula unit
- SG: No. 139
- DFT total energy: -5.1692 eV/atom

# 20
YSiAu | PBE-GGA | relaxed

The structure in POSCAR format:
```
YSiAu
1.0
-5.339 -4.545 -1.243
6.749 -2.211 -0.513
-0.040 -1.063 4.057
Si Au Y
3 3 3
Direct
0.000 0.263 0.000 Si
0.737 0.737 0.000 Si
0.263 0.000 0.000 Si
0.333 0.667 0.000 Au
0.667 0.333 0.000 Au
0.000 0.000 0.500 Au
0.403 0.403 0.500 Y
0.000 0.597 0.500 Y
0.597 0.000 0.500 Y
```

Computed properties:
- Total magnetization: 0.0 μB per formula unit
- SG: No. 189
- DFT total energy: -5.6912 eV/atom

Volume / Å³ per atom: 15.08 14.43 30.52 25.80 23.21 20.42 23.72 27.12 20.19 28.02 15.96 15.93 19.85 21.31 19.79 18.71 19.69 20.53 19.64 20.46